A plane-wave DFT calculation with PBE was carried out for a relaxed structure of UTeBrO.

Values from the calculation:
N(E_F): 0.645 states/eV/atom
space-group type: Cm
spin magnetization: 1.2 μB/f.u.
raw total energy: -6.98 eV per atom
formation energy without anion corrections: -39.6 kcal/mol of atoms

abc: 3.8109 3.8109 8.6478
angles: 102.79 102.79 60.00
Closest atoms and distances in Å follow each position.
Sites, in units of the cell vectors:
1 U 0.0000 0.0000 0.0000  3 O 2.20
2 Te 0.7591 0.7591 0.2758  3 U 3.19, 3 O 3.24
3 Br 0.5800 0.5800 0.7412  3 O 3.04, 3 U 3.09
4 O 0.3304 0.3304 0.9913  3 U 2.20